DFT (PBE) results for a geometry-optimized Na2AgPb structure.

a = 10.6427 Å, b = 10.6427 Å, c = 10.6427 Å
α = 18.46°, β = 18.46°, γ = 18.46°
Closest atoms and distances in Å follow each position.
Positions (direct):
Na  0.0000  0.0000  0.0000  3 Ag 3.12, 6 Na 3.41, 3 Pb 3.43
Na  0.1793  0.1793  0.1793  3 Ag 3.12, 6 Na 3.41, 3 Pb 3.44
Ag  0.5897  0.5897  0.5897  6 Na 3.12, 6 Ag 3.41
Pb  0.7562  0.7562  0.7562  6 Pb 3.41, 6 Na 3.43-3.44

Output
M_tot, μB/f.u.: 0.00
Fermi-level density of states, states/eV per cell: 1.506
Energy of formation, kcal/mol of atoms: 0.36


DFT (PBE) results for a geometry-optimized NaAgPb6 structure.

a = 6.8115 Å, b = 6.8115 Å, c = 6.8115 Å
α = 109.78°, β = 109.78°, γ = 109.78°
Closest atoms and distances in Å follow each position.
Positions (direct):
Na  0.0000  0.0000  0.0000  2 Ag 3.35, 6 Pb 3.41
Ag  0.5000  0.5000  0.5000  6 Pb 3.12, 2 Na 3.35
Pb  0.2531  0.2531  0.7298  1 Ag 3.12, 4 Pb 3.29-3.43, 1 Na 3.41
Pb  0.2531  0.7299  0.2531  1 Ag 3.12, 4 Pb 3.29-3.43, 1 Na 3.41
Pb  0.2702  0.7469  0.7469  1 Ag 3.12, 4 Pb 3.29-3.43, 1 Na 3.41
Pb  0.7298  0.2531  0.2531  1 Ag 3.12, 4 Pb 3.29-3.43, 1 Na 3.41
Pb  0.7469  0.2702  0.7469  1 Ag 3.12, 4 Pb 3.29-3.43, 1 Na 3.41
Pb  0.7469  0.7469  0.2702  1 Ag 3.12, 4 Pb 3.29-3.43, 1 Na 3.41

Output
M_tot, μB/f.u.: 0.00
Fermi-level density of states, states/eV per cell: 4.716
Energy of formation, kcal/mol of atoms: 0.94


DFT (PBE) results for a geometry-optimized NaAg2Pb structure.

a = 4.9869 Å, b = 4.9869 Å, c = 4.9869 Å
α = 60.00°, β = 60.00°, γ = 60.00°
Closest atoms and distances in Å follow each position.
Positions (direct):
Na  0.0000  0.0000  0.0000  4 Pb 3.05, 4 Ag 3.05
Ag  0.2500  0.2500  0.2500  4 Ag 3.05, 4 Na 3.05
Ag  0.5000  0.5000  0.5000  4 Pb 3.05, 4 Ag 3.05
Pb  0.7500  0.7500  0.7500  4 Ag 3.05, 4 Na 3.05

Output
M_tot, μB/f.u.: 0.00
Fermi-level density of states, states/eV per cell: 1.557
Energy of formation, kcal/mol of atoms: 0.18


DFT (PBE) results for a geometry-optimized Na2AgPb structure.

a = 6.7591 Å, b = 6.7591 Å, c = 6.7591 Å
α = 101.42°, β = 101.42°, γ = 127.16°
Closest atoms and distances in Å follow each position.
Positions (direct):
Na  0.0955  0.1250  0.4705  2 Ag 2.95, 2 Na 3.05, 2 Pb 3.30
Na  0.3750  0.9045  0.0295  2 Ag 2.95, 2 Na 3.05, 2 Pb 3.30
Na  0.6545  0.6250  0.5295  2 Ag 2.95, 2 Na 3.05, 2 Pb 3.30
Na  0.8750  0.3455  0.9705  2 Ag 2.95, 2 Na 3.05, 2 Pb 3.30
Ag  0.0000  0.0000  0.0000  4 Na 2.95, 2 Pb 3.01
Ag  0.7500  0.2500  0.5000  4 Na 2.95, 2 Pb 3.01
Pb  0.2500  0.7500  0.5000  2 Ag 3.01, 4 Na 3.30
Pb  0.5000  0.5000  0.0000  2 Ag 3.01, 4 Na 3.30

Output
M_tot, μB/f.u.: 0.00
Fermi-level density of states, states/eV per cell: 5.395
Energy of formation, kcal/mol of atoms: 1.62